Entry from Alexandria via LeMat-Bulk: a relaxed NdEr4Tm crystal (PBE).

a b c (Å): 3.4260 5.7805 9.8170
angles (deg): 90.00 90.00 90.00
With the nearest neighbours (Å) after each atom.
Positions (direct):
Nd 0.0000 0.0000 0.0000  2 Nd 3.43, 8 Er 3.45-3.54
Er 0.0000 0.5000 0.1918  7 Er 3.43-3.77, 2 Nd 3.45, 2 Tm 3.48
Er 0.0000 0.5000 0.8082  7 Er 3.43-3.77, 2 Nd 3.45, 2 Tm 3.48
Er 0.5000 0.0000 0.3153  2 Tm 3.41, 7 Er 3.43-3.63, 2 Nd 3.54
Er 0.5000 0.0000 0.6847  2 Tm 3.41, 7 Er 3.43-3.63, 2 Nd 3.54
Tm 0.5000 0.5000 0.5000  8 Er 3.41-3.48, 2 Tm 3.43

Relative energy among the computed polymorphs in meV per atom: 36
Electronic total energy in eV/cell: -26.3
Energy of formation in eV per atom: 0.20

***

Entry from Alexandria via LeMat-Bulk: a relaxed Nd6Er8Tm crystal (PBE).

a b c (Å): 9.4676 9.4676 6.5414
angles (deg): 90.00 90.00 120.00
With the nearest neighbours (Å) after each atom.
Positions (direct):
Nd 0.0852 0.6786 0.0961  1 Nd 3.19, 3 Er 3.23-3.45
Nd 0.3214 0.4067 0.0961  1 Nd 3.19, 3 Er 3.23-3.45
Nd 0.4067 0.0852 0.9039  1 Nd 3.19, 3 Er 3.23-3.45
Nd 0.5933 0.9148 0.0961  1 Nd 3.19, 3 Er 3.23-3.45
Nd 0.6786 0.5933 0.9039  1 Nd 3.19, 3 Er 3.23-3.45
Nd 0.9148 0.3214 0.9039  1 Nd 3.19, 3 Er 3.23-3.45
Er 0.0203 0.3289 0.3969  3 Nd 3.23-3.45, 4 Er 3.31-3.51
Er 0.3086 0.9797 0.3969  3 Nd 3.23-3.45, 4 Er 3.31-3.51
Er 0.3289 0.3086 0.6031  3 Nd 3.23-3.45, 4 Er 3.31-3.51
Er 0.3333 0.6667 0.6508  6 Er 3.38-3.51, 3 Nd 3.78
Er 0.6667 0.3333 0.3492  6 Er 3.38-3.51, 3 Nd 3.78
Er 0.6711 0.6914 0.3969  3 Nd 3.23-3.45, 4 Er 3.31-3.51
Er 0.6914 0.0203 0.6031  3 Nd 3.23-3.45, 4 Er 3.31-3.51
Er 0.9797 0.6711 0.6031  3 Nd 3.23-3.45, 4 Er 3.31-3.51
Tm 0.0000 0.0000 0.0000  6 Nd 3.57, 6 Er 3.98

Relative energy among the computed polymorphs in meV per atom: 120
Electronic total energy in eV/cell: -66.0
Energy of formation in eV per atom: 0.24

***

Entry from Alexandria via LeMat-Bulk: a relaxed Nd4ErTm2 crystal (PBE).

a b c (Å): 8.9977 8.9977 8.9977
angles (deg): 135.09 101.42 95.38
With the nearest neighbours (Å) after each atom.
Positions (direct):
Nd 0.1542 0.1497 0.0045  1 Tm 3.32, 2 Er 3.50, 3 Nd 3.63-3.68
Nd 0.2402 0.2107 0.4706  1 Nd 3.03, 1 Er 3.15, 1 Tm 3.16
Nd 0.2402 0.7696 0.0294  1 Nd 3.03, 1 Er 3.15, 1 Tm 3.16
Nd 0.3547 0.8503 0.5045  1 Tm 3.32, 2 Er 3.50, 3 Nd 3.63-3.68
Nd 0.6453 0.1497 0.4955  1 Tm 3.32, 2 Er 3.50, 3 Nd 3.63-3.68
Nd 0.7598 0.2304 0.9706  1 Nd 3.03, 1 Er 3.15, 1 Tm 3.16
Nd 0.7598 0.7893 0.5294  1 Nd 3.03, 1 Er 3.15, 1 Tm 3.16
Nd 0.8458 0.8503 0.9955  1 Tm 3.32, 2 Er 3.50, 3 Nd 3.63-3.68
Er 0.5000 0.0000 0.0000  6 Nd 3.15-3.50, 2 Er 3.44
Er 0.5000 0.5000 0.5000  6 Nd 3.15-3.50, 2 Er 3.44
Tm 0.0000 0.5000 0.5000  4 Nd 3.44
Tm 0.0328 0.2828 0.7500  4 Nd 3.16-3.32, 2 Tm 3.53
Tm 0.5000 0.5000 0.0000  4 Nd 3.44
Tm 0.9672 0.7172 0.2500  4 Nd 3.16-3.32, 2 Tm 3.53

Relative energy among the computed polymorphs in meV per atom: 197
Electronic total energy in eV/cell: -61.6
Energy of formation in eV per atom: 0.26

***

Question: Look up the electronic total energy of the second one.
Answer: -66.0 eV/cell

***

Question: Among the records above, which one has the highest electronic total energy?
Answer: NdEr4Tm

***

Question: Among the records above, which one has the highest relative energy among the computed polymorphs?
Answer: Nd4ErTm2